Version A
Entry from Alexandria via LeMat-Bulk: crystalline TlCrCl2 at its relaxed geometry (PBE).

The structure in POSCAR format:
```
TlCrCl2
1.0
1.8247 1.0535 8.8619
-1.8247 1.0535 8.8619
0.0000 -2.1070 8.8619
Tl Cr Cl
1 1 2
Direct
0.0000 0.0000 0.0000 Tl
0.5000 0.5000 0.5000 Cr
0.2207 0.2207 0.2207 Cl
0.7793 0.7793 0.7793 Cl
```

Output
Size of the total moment: 4.237 Bohr magnetons per cell

=====

Version B
Entry from Alexandria via LeMat-Bulk: crystalline TlCrCl2 at its relaxed geometry (PBE).

The structure in POSCAR format:
```
TlCrCl2
1.0
2.3674 1.3668 8.0692
-2.3674 1.3668 8.0692
0.0000 -2.7337 8.0692
Tl Cr Cl
1 1 2
Direct
0.0000 0.0000 0.0000 Tl
0.5000 0.5000 0.5000 Cr
0.4046 0.4046 0.4046 Cl
0.5954 0.5954 0.5954 Cl
```

Output
Size of the total moment: 5.000 Bohr magnetons per cell

=====

Version C
Entry from Alexandria via LeMat-Bulk: crystalline TlCrCl2 at its relaxed geometry (PBE).

The structure in POSCAR format:
```
TlCrCl2
1.0
1.7400 -3.3485 0.0000
1.7400 3.3485 0.0000
0.0000 0.0000 9.4931
Tl Cr Cl
1 1 2
Direct
0.0000 0.0000 0.0000 Tl
0.0000 0.0000 0.5000 Cr
0.5000 0.5000 0.3256 Cl
0.5000 0.5000 0.6744 Cl
```

Output
Size of the total moment: 4.303 Bohr magnetons per cell

=====

We find version A to be the most stable, with the next structure 13 meV per atom higher.

=====

Version A
Entry from Alexandria via LeMat-Bulk: crystalline TlCrCl2 at its relaxed geometry (PBE).

The structure in POSCAR format:
```
TlCrCl2
1.0
0.0000 3.6170 3.6170
3.6170 0.0000 3.6170
3.6170 3.6170 0.0000
Tl Cr Cl
1 1 2
Direct
0.0000 0.0000 0.0000 Tl
0.2500 0.2500 0.2500 Cr
0.5000 0.5000 0.5000 Cl
0.7500 0.7500 0.7500 Cl
```

Output
Size of the total moment: 5.000 Bohr magnetons per cell

=====

Version B
Entry from Alexandria via LeMat-Bulk: crystalline TlCrCl2 at its relaxed geometry (PBE).

The structure in POSCAR format:
```
TlCrCl2
1.0
3.6490 0.0000 0.0000
0.0000 5.1238 0.0000
0.0000 0.0000 5.2147
Tl Cr Cl
1 1 2
Direct
0.0000 0.0000 0.0000 Tl
0.0000 0.5000 0.5000 Cr
0.5000 0.0000 0.5000 Cl
0.5000 0.5000 0.0000 Cl
```

Output
Size of the total moment: 5.000 Bohr magnetons per cell

=====

We find version B to be the most stable, with the next structure 247 meV per atom higher.

=====

Version A
Entry from Alexandria via LeMat-Bulk: crystalline TlCrCl2 at its relaxed geometry (PBE).

The structure in POSCAR format:
```
TlCrCl2
1.0
3.6746 0.0000 0.0000
0.0000 3.6746 0.0000
0.0000 0.0000 7.9873
Tl Cr Cl
1 1 2
Direct
0.0000 0.0000 0.0000 Tl
0.5000 0.5000 0.5386 Cr
0.0000 0.0000 0.5791 Cl
0.5000 0.5000 0.2312 Cl
```

Output
Size of the total moment: 4.713 Bohr magnetons per cell

=====

Version B
Entry from Alexandria via LeMat-Bulk: crystalline TlCrCl2 at its relaxed geometry (PBE).

The structure in POSCAR format:
```
TlCrCl2
1.0
1.6438 0.9491 9.8126
-1.6438 0.9491 9.8126
0.0000 -1.8981 9.8126
Tl Cr Cl
1 1 2
Direct
0.0000 0.0000 0.0000 Tl
0.5000 0.5000 0.5000 Cr
0.1176 0.1176 0.1176 Cl
0.8824 0.8824 0.8824 Cl
```

Output
Size of the total moment: 0.000 Bohr magnetons per cell

=====

Version C
Entry from Alexandria via LeMat-Bulk: crystalline TlCrCl2 at its relaxed geometry (PBE).

The structure in POSCAR format:
```
TlCrCl2
1.0
1.8264 1.0545 8.8515
-1.8264 1.0545 8.8515
0.0000 -2.1089 8.8515
Tl Cr Cl
1 1 2
Direct
0.0000 0.0000 0.0000 Tl
0.8326 0.8326 0.8326 Cr
0.2197 0.2197 0.2197 Cl
0.4448 0.4448 0.4448 Cl
```

Output
Size of the total moment: 4.165 Bohr magnetons per cell

=====

We find version C to be the most stable, with the next structure 106 meV per atom higher.

=====

Version A
Entry from Alexandria via LeMat-Bulk: crystalline TlCrCl2 at its relaxed geometry (PBE).

The structure in POSCAR format:
```
TlCrCl2
1.0
5.8712 -1.7210 0.0000
5.8712 1.7210 0.0000
-2.6637 0.0000 5.3778
Tl Cr Cl
1 1 2
Direct
0.0000 0.0000 0.0000 Tl
0.2606 0.2606 0.5200 Cr
0.6699 0.6699 0.6661 Cl
0.8420 0.8420 0.3557 Cl
```

Output
Size of the total moment: 3.886 Bohr magnetons per cell

=====

Version B
Entry from Alexandria via LeMat-Bulk: crystalline TlCrCl2 at its relaxed geometry (PBE).

The structure in POSCAR format:
```
TlCrCl2
1.0
-2.0730 2.0730 6.1913
2.0730 -2.0730 6.1913
2.0730 2.0730 -6.1913
Tl Cr Cl
1 1 2
Direct
0.0000 0.0000 0.0000 Tl
0.7500 0.2500 0.5000 Cr
0.2500 0.7500 0.5000 Cl
0.5000 0.5000 0.0000 Cl
```

Output
Size of the total moment: 5.000 Bohr magnetons per cell

=====

Version C
Entry from Alexandria via LeMat-Bulk: crystalline TlCrCl2 at its relaxed geometry (PBE).

The structure in POSCAR format:
```
TlCrCl2
1.0
4.0608 0.0000 0.0000
0.0000 2.4369 5.9667
0.0000 -2.4369 5.9667
Tl Cr Cl
1 1 2
Direct
0.0000 0.0000 0.0000 Tl
0.5000 0.6211 0.6211 Cr
0.0000 0.7312 0.7312 Cl
0.5000 0.4250 0.4250 Cl
```

Output
Size of the total moment: 4.752 Bohr magnetons per cell

=====

We find version A to be the most stable, with the next structure 69 meV per atom higher.

=====

Version A
Entry from Alexandria via LeMat-Bulk: crystalline TlCrCl2 at its relaxed geometry (PBE).

The structure in POSCAR format:
```
TlCrCl2
1.0
3.3385 0.0000 0.0000
0.0000 3.3385 0.0000
0.0000 0.0000 8.4101
Tl Cr Cl
1 1 2
Direct
0.0000 0.0000 0.0000 Tl
0.0000 0.0000 0.5000 Cr
0.5000 0.5000 0.3147 Cl
0.5000 0.5000 0.6853 Cl
```

Output
Size of the total moment: 4.548 Bohr magnetons per cell

=====

Version B
Entry from Alexandria via LeMat-Bulk: crystalline TlCrCl2 at its relaxed geometry (PBE).

The structure in POSCAR format:
```
TlCrCl2
1.0
3.6736 0.0000 0.0000
0.0000 3.4034 0.0000
-1.0960 0.0000 8.9897
Tl Cr Cl
1 1 2
Direct
0.0000 0.0000 0.0000 Tl
0.0000 0.0000 0.5000 Cr
0.2472 0.5000 0.6714 Cl
0.7528 0.5000 0.3286 Cl
```

Output
Size of the total moment: 4.287 Bohr magnetons per cell

=====

We find version B to be the most stable, with the next structure 187 meV per atom higher.

=====

Version A
Entry from Alexandria via LeMat-Bulk: crystalline Tl2CrCl6 at its relaxed geometry (PBE).

The structure in POSCAR format:
```
Tl2CrCl6
1.0
8.7043 0.0000 0.0000
-4.3521 7.5381 0.0000
0.0000 0.0000 3.4388
Tl Cr Cl
2 1 6
Direct
0.3333 0.6667 0.0000 Tl
0.6667 0.3333 0.0000 Tl
0.0000 0.0000 0.5000 Cr
0.0000 0.4582 0.5000 Cl
0.0000 0.8016 0.0000 Cl
0.1984 0.1984 0.0000 Cl
0.4582 0.0000 0.5000 Cl
0.5418 0.5418 0.5000 Cl
0.8016 0.0000 0.0000 Cl
```

Output
Size of the total moment: 2.909 Bohr magnetons per cell

=====

Version B
Entry from Alexandria via LeMat-Bulk: crystalline Tl2CrCl6 at its relaxed geometry (PBE).

The structure in POSCAR format:
```
Tl2CrCl6
1.0
0.0000 4.9338 4.9338
4.9338 0.0000 4.9338
4.9338 4.9338 0.0000
Tl Cr Cl
2 1 6
Direct
0.2500 0.2500 0.2500 Tl
0.7500 0.7500 0.7500 Tl
0.0000 0.0000 0.0000 Cr
0.2333 0.2333 0.7667 Cl
0.2333 0.7667 0.2333 Cl
0.2333 0.7667 0.7667 Cl
0.7667 0.2333 0.2333 Cl
0.7667 0.2333 0.7667 Cl
0.7667 0.7667 0.2333 Cl
```

Output
Size of the total moment: 1.999 Bohr magnetons per cell

=====

We find version B to be the most stable, with the next structure 251 meV per atom higher.

=====

Version A
Entry from Alexandria via LeMat-Bulk: crystalline Tl3CrCl6 at its relaxed geometry (PBE).

The structure in POSCAR format:
```
Tl3CrCl6
1.0
7.1411 0.0000 0.0000
0.0000 7.9274 0.0000
-6.8345 0.0000 10.5523
Tl Cr Cl
6 2 12
Direct
0.0000 0.0000 0.0000 Tl
0.0000 0.5000 0.5000 Tl
0.2154 0.0677 0.7421 Tl
0.2154 0.4323 0.2421 Tl
0.7846 0.5677 0.7579 Tl
0.7846 0.9323 0.2579 Tl
0.5000 0.0000 0.5000 Cr
0.5000 0.5000 0.0000 Cr
0.1907 0.1586 0.4669 Cl
0.1907 0.3414 0.9669 Cl
0.2824 0.7489 0.4387 Cl
0.2824 0.7511 0.9387 Cl
0.3859 0.0466 0.2865 Cl
0.3859 0.4534 0.7865 Cl
0.6141 0.5466 0.2135 Cl
0.6141 0.9534 0.7135 Cl
0.7176 0.2489 0.0613 Cl
0.7176 0.2511 0.5613 Cl
0.8093 0.6586 0.0331 Cl
0.8093 0.8414 0.5331 Cl
```

Output
Size of the total moment: 6.000 Bohr magnetons per cell

=====

Version B
Entry from Alexandria via LeMat-Bulk: crystalline Tl3CrCl6 at its relaxed geometry (PBE).

The structure in POSCAR format:
```
Tl3CrCl6
1.0
0.0000 5.4752 6.4186
4.5013 0.0000 6.4186
4.5013 5.4752 0.0000
Tl Cr Cl
3 1 6
Direct
0.0000 0.0000 0.0000 Tl
0.2500 0.2500 0.2500 Tl
0.7500 0.7500 0.7500 Tl
0.5000 0.5000 0.5000 Cr
0.1847 0.5566 0.8153 Cl
0.2825 0.7175 0.2825 Cl
0.4434 0.8153 0.5566 Cl
0.5566 0.1847 0.4434 Cl
0.7175 0.2825 0.7175 Cl
0.8153 0.4434 0.1847 Cl
```

Output
Size of the total moment: 3.000 Bohr magnetons per cell

=====

We find version A to be the most stable, with the next structure 48 meV per atom higher.

=====

Version A
Entry from Alexandria via LeMat-Bulk: crystalline TlCr3Cl at its relaxed geometry (PBE).

The structure in POSCAR format:
```
TlCr3Cl
1.0
4.2294 0.0000 0.0000
0.0000 4.2294 0.0000
0.0000 0.0000 4.2294
Tl Cr Cl
1 3 1
Direct
0.0000 0.0000 0.0000 Tl
0.0000 0.5000 0.5000 Cr
0.5000 0.0000 0.5000 Cr
0.5000 0.5000 0.0000 Cr
0.5000 0.5000 0.5000 Cl
```

Output
Size of the total moment: 1.980 Bohr magnetons per cell

=====

Version B
Entry from Alexandria via LeMat-Bulk: crystalline TlCr3Cl at its relaxed geometry (PBE).

The structure in POSCAR format:
```
TlCr3Cl
1.0
5.2597 0.0000 0.0000
0.0000 5.2597 0.0000
0.0000 0.0000 5.2597
Tl Cr Cl
1 3 1
Direct
0.0000 0.0000 0.0000 Tl
0.0000 0.0000 0.5000 Cr
0.0000 0.5000 0.0000 Cr
0.5000 0.0000 0.0000 Cr
0.5000 0.5000 0.5000 Cl
```

Output
Size of the total moment: 12.945 Bohr magnetons per cell

=====

We find version A to be the most stable, with the next structure 399 meV per atom higher.